## Pm2BeCo3P4 (PBE)

Data for a relaxed Pm2BeCo3P4 crystal.

Cell: 3.961 3.961 9.208 Å, 90.00 90.00 90.00°
Positions (direct):
Pm: 0.000 0.500 0.244
Pm: 0.500 0.000 0.756
Be: 0.000 0.000 0.500
Co: 0.000 0.500 0.888
Co: 0.500 0.000 0.112
Co: 0.500 0.500 0.500
P: 0.000 0.000 0.000
P: 0.000 0.500 0.635
P: 0.500 0.000 0.365
P: 0.500 0.500 0.000

As for the space group: P-4m2. The energy relative to the elements comes out at -0.90 eV/atom. The energy is -6.522 eV/atom.